Entry from Alexandria: TeRuSe2N at its PBEsol-relaxed geometry (meta-GGA SCAN).

**D(E_F)**: 4.45 states/eV/cell
**Symmetry**: P4/mmm (123)
**Formation energy from raw total energies**: 7.34 eV/f.u.

Geometry as extended XYZ:
```
5
Lattice="5.266 0.000 0.000 0.000 5.266 0.000 0.000 0.000 3.824" Properties=species:S:1:pos:R:3 pbc="T T T"
Te 0.000 0.000 0.000
Ru 2.633 2.633 1.912
Se 0.000 2.633 0.000
Se 2.633 0.000 0.000
N 0.000 0.000 1.912
```

=====

Entry from Alexandria: ZnRuSeN2 at its PBEsol-relaxed geometry (meta-GGA SCAN).

**D(E_F)**: 3.04 states/eV/cell
**Symmetry**: P4/mmm (123)
**Formation energy from raw total energies**: 8.99 eV/f.u.

Geometry as extended XYZ:
```
5
Lattice="3.790 0.000 0.000 0.000 3.790 0.000 0.000 0.000 4.720" Properties=species:S:1:pos:R:3 pbc="T T T"
Zn 0.000 0.000 0.000
Ru 1.895 1.895 0.000
Se 1.895 1.895 2.360
N 0.000 1.895 2.360
N 1.895 0.000 2.360
```

=====

Entry from Alexandria: ZrRuSeN2 at its PBEsol-relaxed geometry (meta-GGA SCAN).

**D(E_F)**: 3.44 states/eV/cell
**Symmetry**: P4/mmm (123)
**Formation energy from raw total energies**: 1.65 eV/f.u.

Geometry as extended XYZ:
```
5
Lattice="3.828 0.000 0.000 0.000 3.828 0.000 0.000 0.000 4.924" Properties=species:S:1:pos:R:3 pbc="T T T"
Zr 0.000 0.000 0.000
Ru 1.914 1.914 2.462
Se 1.914 1.914 0.000
N 0.000 1.914 2.462
N 1.914 0.000 2.462
```